PBE-GGA HoHfZnGa, optimized geometry; E_tot = -5.04 eV per atom; ΔE_f = -328 meV/atom
1.0
0.0000 3.4209 3.4209
3.4209 0.0000 3.4209
3.4209 3.4209 0.0000
Ho Hf Zn Ga
1 1 1 1
direct
0.0000 0.0000 0.0000 Ho
0.5000 0.5000 0.5000 Hf
0.2500 0.2500 0.2500 Zn
0.7500 0.7500 0.7500 Ga